--- w ---
Density functional theory data (PBEsol) for CaCr2Ir after structural relaxation.

- symmetry = Cmmm
- crystal system = orthorhombic

Cell lengths 2.635, 5.056, 5.056 Å; angles 119.67, 90.00, 90.00 degrees
Sites, in units of the cell vectors:
Cr: 0.000 0.500 0.000
Cr: 0.000 0.000 0.500
Ca: 0.500 0.500 0.500
Ir: 0.500 0.000 0.000

--- x ---
Density functional theory data (PBEsol) for CaCr2Ir after structural relaxation.

- symmetry = Pmmm
- crystal system = orthorhombic

Cell lengths 2.784, 4.106, 5.891 Å; angles 90.00, 90.00, 90.00 degrees
Sites, in units of the cell vectors:
Cr: 0.000 0.000 0.841
Cr: 0.000 0.000 0.159
Ca: 0.500 0.500 0.500
Ir: 0.500 0.500 0.000

--- y ---
Density functional theory data (PBEsol) for CaCr2Ir after structural relaxation.

- symmetry = F-43m
- crystal system = cubic

Cell lengths 4.479, 4.479, 4.479 Å; angles 60.00, 60.00, 60.00 degrees
Last column: magnetic moment on the atom in μB.
Sites, in units of the cell vectors:
Cr: 0.000 0.000 0.000  -2.70
Cr: 0.750 0.750 0.750  3.09
Ca: 0.500 0.500 0.500  0.07
Ir: 0.250 0.250 0.250  0.01

It is w that is the least stable of them.

--- w ---
Density functional theory data (PBEsol) for KCaCr2 after structural relaxation.

- symmetry = P4/mmm
- crystal system = tetragonal

Cell lengths 3.718, 3.709, 8.826 Å; angles 90.00, 90.00, 90.00 degrees
Last column: magnetic moment on the atom in μB.
Sites, in units of the cell vectors:
Ca: 0.500 0.500 0.500  0.07
Cr: 0.000 0.000 0.706  4.05
Cr: 0.000 0.000 0.294  4.05
K: 0.500 0.500 0.000  0.03

--- x ---
Density functional theory data (PBEsol) for KCaCr2 after structural relaxation.

- symmetry = P4mm
- crystal system = tetragonal

Cell lengths 3.271, 3.271, 9.517 Å; angles 90.00, 90.00, 90.00 degrees
Last column: magnetic moment on the atom in μB.
Sites, in units of the cell vectors:
Ca: 0.500 0.500 0.837  0.01
Cr: 0.000 0.000 0.070  -2.38
Cr: 0.500 0.500 0.152  2.58
K: 0.000 0.000 0.441  0.02

It is w that is the least stable of them.

--- w ---
Density functional theory data (PBEsol) for Ca2LaCr after structural relaxation.

- symmetry = Immm
- crystal system = orthorhombic

Cell lengths 3.777, 5.524, 6.734 Å; angles 114.22, 106.29, 90.00 degrees
Last column: magnetic moment on the atom in μB.
Sites, in units of the cell vectors:
Cr: 0.500 0.000 0.000  3.58
Ca: 0.789 0.789 0.578  -0.03
Ca: 0.211 0.211 0.422  -0.03
La: 0.000 0.500 0.000  -0.14

--- x ---
Density functional theory data (PBEsol) for Ca2LaCr after structural relaxation.

- symmetry = R3m
- crystal system = trigonal

Cell lengths 3.730, 3.730, 10.933 Å; angles 80.18, 80.18, 60.00 degrees
Last column: magnetic moment on the atom in μB.
Sites, in units of the cell vectors:
Cr: 0.498 0.498 0.507  3.38
Ca: 0.000 0.000 0.999  -0.02
Ca: 0.233 0.233 0.301  -0.01
La: 0.769 0.769 0.692  -0.08

--- y ---
Density functional theory data (PBEsol) for Ca2LaCr after structural relaxation.

- symmetry = C2/m
- crystal system = monoclinic

Cell lengths 3.462, 6.269, 6.679 Å; angles 115.89, 101.53, 97.25 degrees
Last column: magnetic moment on the atom in μB.
Sites, in units of the cell vectors:
Cr: 0.500 0.000 0.000  3.84
Ca: 0.000 0.000 0.500  0.00
Ca: 0.500 0.500 0.500  0.00
La: 0.000 0.500 0.000  -0.03

It is y that is the least stable of them.

--- w ---
Density functional theory data (PBEsol) for CaLaCr2 after structural relaxation.

- symmetry = F-43m
- crystal system = cubic

Cell lengths 5.049, 5.049, 5.049 Å; angles 60.00, 60.00, 60.00 degrees
Last column: magnetic moment on the atom in μB.
Sites, in units of the cell vectors:
Cr: 0.000 0.000 0.000  3.59
Cr: 0.750 0.750 0.750  3.69
Ca: 0.500 0.500 0.500  0.04
La: 0.250 0.250 0.250  0.09

--- x ---
Density functional theory data (PBEsol) for CaLaCr2 after structural relaxation.

- symmetry = P4mm
- crystal system = tetragonal

Cell lengths 3.186, 3.186, 8.715 Å; angles 90.00, 90.00, 90.00 degrees
Last column: magnetic moment on the atom in μB.
Sites, in units of the cell vectors:
Cr: 0.000 0.000 0.075  1.96
Cr: 0.500 0.500 0.172  -1.74
Ca: 0.500 0.500 0.817  0.00
La: 0.000 0.000 0.436  0.10

It is w that is the least stable of them.

--- w ---
Density functional theory data (PBEsol) for CaMn2Cr after structural relaxation.

- symmetry = P4mm
- crystal system = tetragonal

Cell lengths 3.062, 3.062, 6.650 Å; angles 90.00, 90.00, 90.00 degrees
Last column: magnetic moment on the atom in μB.
Sites, in units of the cell vectors:
Cr: 0.500 0.500 0.851  -0.33
Ca: 0.000 0.000 0.493  -0.01
Mn: 0.000 0.000 0.999  1.15
Mn: 0.500 0.500 0.157  0.17

--- x ---
Density functional theory data (PBEsol) for CaMn2Cr after structural relaxation.

- symmetry = Fm-3m
- crystal system = cubic

Cell lengths 4.522, 4.522, 4.522 Å; angles 60.00, 60.00, 60.00 degrees
Last column: magnetic moment on the atom in μB.
Sites, in units of the cell vectors:
Cr: 0.500 0.500 0.500  -3.06
Ca: 0.000 0.000 0.000  0.03
Mn: 0.250 0.250 0.250  3.24
Mn: 0.750 0.750 0.750  3.24

It is x that is the least stable of them.

--- w ---
Density functional theory data (PBEsol) for CaCr2Ni after structural relaxation.

- symmetry = C2/m
- crystal system = monoclinic

Cell lengths 2.495, 4.781, 5.281 Å; angles 113.66, 97.93, 102.53 degrees
Sites, in units of the cell vectors:
Ca: 0.500 0.000 0.000
Cr: 0.500 0.500 0.500
Cr: 0.000 0.000 0.500
Ni: 0.000 0.500 0.000

--- x ---
Density functional theory data (PBEsol) for CaCr2Ni after structural relaxation.

- symmetry = I4/mmm
- crystal system = tetragonal

Cell lengths 3.517, 3.517, 5.216 Å; angles 109.70, 109.70, 90.00 degrees
Sites, in units of the cell vectors:
Ca: 0.000 0.000 0.000
Cr: 0.750 0.250 0.500
Cr: 0.250 0.750 0.500
Ni: 0.500 0.500 0.000

It is x that is the least stable of them.

--- w ---
Density functional theory data (PBEsol) for CaCr2O4 after structural relaxation.

- symmetry = Pmmn
- crystal system = orthorhombic

Cell lengths 5.083, 5.857, 10.886 Å; angles 90.00, 90.00, 90.00 degrees
Last column: magnetic moment on the atom in μB.
Sites, in units of the cell vectors:
Ca: 0.354 0.000 0.500  0.01
Ca: 0.646 0.500 0.000  0.01
Ca: 0.035 0.000 0.000  0.03
Ca: 0.965 0.500 0.500  0.03
Cr: 0.005 0.500 0.759  2.82
Cr: 0.995 0.000 0.741  2.82
Cr: 0.500 0.250 0.250  2.81
Cr: 0.500 0.750 0.250  2.81
Cr: 0.005 0.500 0.241  2.82
Cr: 0.995 0.000 0.259  2.82
Cr: 0.500 0.750 0.750  2.81
Cr: 0.500 0.250 0.750  2.81
O: 0.341 0.500 0.154  0.02
O: 0.341 0.500 0.846  0.02
O: 0.659 0.000 0.346  0.02
O: 0.659 0.000 0.654  0.02
O: 0.678 0.500 0.339  0.01
O: 0.678 0.500 0.661  0.01
O: 0.322 0.000 0.161  0.01
O: 0.322 0.000 0.839  0.01
O: 0.165 0.254 0.350  0.01
O: 0.165 0.746 0.650  0.01
O: 0.835 0.754 0.150  0.01
O: 0.835 0.246 0.850  0.01
O: 0.835 0.246 0.150  0.01
O: 0.835 0.754 0.850  0.01
O: 0.165 0.746 0.350  0.01
O: 0.165 0.254 0.650  0.01

--- x ---
Density functional theory data (PBEsol) for CaCr2O4 after structural relaxation.

- symmetry = Fd-3m
- crystal system = cubic

Cell lengths 6.113, 6.113, 6.113 Å; angles 60.00, 60.00, 60.00 degrees
Last column: magnetic moment on the atom in μB.
Sites, in units of the cell vectors:
Ca: 0.000 0.000 0.000  0.02
Ca: 0.250 0.250 0.250  0.02
Cr: 0.625 0.125 0.625  2.85
Cr: 0.625 0.625 0.125  2.85
Cr: 0.625 0.625 0.625  2.85
Cr: 0.125 0.625 0.625  2.85
O: 0.434 0.855 0.855  -0.01
O: 0.395 0.395 0.395  -0.01
O: 0.395 0.816 0.395  -0.01
O: 0.395 0.395 0.816  -0.01
O: 0.855 0.434 0.855  -0.01
O: 0.855 0.855 0.434  -0.01
O: 0.816 0.395 0.395  -0.01
O: 0.855 0.855 0.855  -0.01

It is x that is the least stable of them.

--- w ---
Density functional theory data (PBEsol) for CaCr2O4 after structural relaxation.

- symmetry = Cmcm
- crystal system = orthorhombic

Cell lengths 2.986, 5.071, 9.843 Å; angles 90.00, 90.00, 107.13 degrees
Last column: magnetic moment on the atom in μB.
Sites, in units of the cell vectors:
Ca: 0.389 0.777 0.750  0.02
Ca: 0.611 0.223 0.250  0.02
Cr: 0.136 0.272 0.570  2.80
Cr: 0.864 0.728 0.070  2.80
Cr: 0.864 0.728 0.430  2.80
Cr: 0.136 0.272 0.930  2.80
O: 0.942 0.883 0.250  0.06
O: 0.058 0.117 0.750  0.06
O: 0.500 0.000 0.500  0.06
O: 0.500 0.000 0.000  0.06
O: 0.237 0.475 0.107  -0.02
O: 0.763 0.525 0.893  -0.02
O: 0.763 0.525 0.607  -0.02
O: 0.237 0.475 0.393  -0.02

--- x ---
Density functional theory data (PBEsol) for CaCr2O4 after structural relaxation.

- symmetry = Pnma
- crystal system = orthorhombic

Cell lengths 2.980, 8.985, 10.546 Å; angles 90.00, 90.00, 90.00 degrees
Last column: magnetic moment on the atom in μB.
Sites, in units of the cell vectors:
Ca: 0.250 0.260 0.159  0.02
Ca: 0.750 0.740 0.841  0.02
Ca: 0.250 0.760 0.341  0.02
Ca: 0.750 0.240 0.659  0.02
Cr: 0.250 0.440 0.387  2.83
Cr: 0.750 0.560 0.613  2.83
Cr: 0.250 0.916 0.601  2.82
Cr: 0.750 0.084 0.399  2.82
Cr: 0.250 0.940 0.113  2.83
Cr: 0.750 0.060 0.887  2.83
Cr: 0.250 0.416 0.899  2.82
Cr: 0.750 0.584 0.101  2.82
O: 0.250 0.702 0.661  0.01
O: 0.750 0.298 0.339  0.01
O: 0.250 0.202 0.839  0.01
O: 0.750 0.798 0.161  0.01
O: 0.250 0.617 0.976  0.00
O: 0.750 0.383 0.024  0.00
O: 0.250 0.117 0.524  0.00
O: 0.750 0.883 0.476  0.00
O: 0.250 0.029 0.286  0.02
O: 0.750 0.971 0.714  0.02
O: 0.250 0.529 0.214  0.02
O: 0.750 0.471 0.786  0.02
O: 0.250 0.920 0.926  -0.01
O: 0.750 0.080 0.074  -0.01
O: 0.250 0.420 0.574  -0.01
O: 0.750 0.580 0.426  -0.01

--- y ---
Density functional theory data (PBEsol) for CaCr2O4 after structural relaxation.

- symmetry = R3m
- crystal system = trigonal

Cell lengths 5.912, 5.912, 6.475 Å; angles 62.84, 62.84, 60.00 degrees
Last column: magnetic moment on the atom in μB.
Sites, in units of the cell vectors:
Ca: 0.983 0.983 0.052  0.03
Ca: 0.636 0.636 0.093  0.02
Cr: 0.149 0.149 0.553  2.84
Cr: 0.630 0.140 0.601  2.81
Cr: 0.630 0.630 0.601  2.81
Cr: 0.140 0.630 0.601  2.81
O: 0.408 0.408 0.776  0.03
O: 0.855 0.855 0.435  0.02
O: 0.858 0.371 0.399  0.00
O: 0.371 0.371 0.399  0.00
O: 0.371 0.858 0.399  0.00
O: 0.906 0.402 0.787  0.01
O: 0.906 0.906 0.787  0.01
O: 0.402 0.906 0.787  0.01

It is y that is the least stable of them.

--- w ---
Density functional theory data (PBEsol) for CaCrOs2 after structural relaxation.

- symmetry = R-3m
- crystal system = trigonal

Cell lengths 2.774, 2.774, 9.216 Å; angles 81.34, 81.34, 60.00 degrees
Sites, in units of the cell vectors:
Ca: 0.500 0.500 0.500
Cr: 0.000 0.000 0.000
Os: 0.261 0.261 0.217
Os: 0.739 0.739 0.783

--- x ---
Density functional theory data (PBEsol) for CaCrOs2 after structural relaxation.

- symmetry = P4/mmm
- crystal system = tetragonal

Cell lengths 2.873, 2.873, 7.610 Å; angles 90.00, 90.00, 90.00 degrees
Sites, in units of the cell vectors:
Ca: 0.500 0.500 0.000
Cr: 0.500 0.500 0.500
Os: 0.000 0.000 0.696
Os: 0.000 0.000 0.304

It is w that is the least stable of them.

--- w ---
Density functional theory data (PBEsol) for CaCrRe after structural relaxation.

- symmetry = P3m1
- crystal system = trigonal

Cell lengths 2.635, 4.579, 4.579 Å; angles 120.00, 90.00, 90.00 degrees
Sites, in units of the cell vectors:
Re: 0.383 0.667 0.333
Ca: 0.988 0.000 0.000
Cr: 0.628 0.333 0.667

--- x ---
Density functional theory data (PBEsol) for CaCrRe after structural relaxation.

- symmetry = F-43m
- crystal system = cubic

Cell lengths 4.552, 4.552, 4.552 Å; angles 60.00, 60.00, 60.00 degrees
Last column: magnetic moment on the atom in μB.
Sites, in units of the cell vectors:
Re: 0.500 0.500 0.500  -2.31
Ca: 0.250 0.250 0.250  -0.01
Cr: 0.000 0.000 0.000  3.64

It is x that is the least stable of them.

--- w ---
Density functional theory data (PBEsol) for CaCrRh2 after structural relaxation.

- symmetry = P4/mmm
- crystal system = tetragonal

Cell lengths 3.022, 4.532, 4.532 Å; angles 90.00, 90.00, 90.00 degrees
Last column: magnetic moment on the atom in μB.
Sites, in units of the cell vectors:
Ca: 0.500 0.500 0.500  -0.01
Cr: 0.500 0.000 0.000  2.83
Rh: 0.000 0.000 0.500  -0.02
Rh: 0.000 0.500 0.000  -0.02

--- x ---
Density functional theory data (PBEsol) for CaCrRh2 after structural relaxation.

- symmetry = P4mm
- crystal system = tetragonal

Cell lengths 3.218, 3.218, 6.566 Å; angles 90.00, 90.00, 90.00 degrees
Last column: magnetic moment on the atom in μB.
Sites, in units of the cell vectors:
Ca: 0.000 0.000 0.482  0.03
Cr: 0.500 0.500 0.839  1.91
Rh: 0.000 0.000 0.966  -0.14
Rh: 0.500 0.500 0.213  0.00

It is x that is the least stable of them.